The following is a PBE-GGA calculation of crystalline AlZnTeO6 at its relaxed geometry, from Alexandria. Values from VASP.

Volume ... 11.0 Å³ per atom
Fermi-level density of states ... 6.36 states/eV per cell
Formation energy without anion corrections ... -1460 meV/atom

Structure (Quantum ESPRESSO input):
```
&SYSTEM
  ibrav = 0, nat = 18, ntyp = 4
/
ATOMIC_SPECIES
Al 26.98 Al.upf
Zn 65.41 Zn.upf
Te 127.60 Te.upf
O 16.00 O.upf
CELL_PARAMETERS angstrom
5.071 0.000 0.000
-2.536 4.392 0.000
0.000 0.000 8.894
ATOMIC_POSITIONS angstrom
Al 0.000 2.928 2.224
Al 2.536 1.464 6.671
Zn 0.000 0.000 0.000
Zn 0.000 0.000 4.447
Te 0.000 2.928 6.671
Te 2.536 1.464 2.224
O -0.880 1.568 1.192
O -1.618 2.846 3.255
O 0.880 1.568 3.255
O -0.738 4.370 1.192
O 1.798 0.022 5.639
O 0.918 1.546 7.702
O 1.618 2.846 1.192
O 0.738 4.370 3.255
O 3.273 0.022 7.702
O 1.655 2.824 5.639
O 4.153 1.546 5.639
O 3.416 2.824 7.702
```

The following is a PBE-GGA calculation of crystalline AlZnTeO5 at its relaxed geometry, from Alexandria. Values from VASP.

Volume ... 12.6 Å³ per atom
Fermi-level density of states ... 2.10 states/eV per cell
Formation energy without anion corrections ... -1569 meV/atom

Structure (Quantum ESPRESSO input):
```
&SYSTEM
  ibrav = 0, nat = 16, ntyp = 4
/
ATOMIC_SPECIES
Al 26.98 Al.upf
Zn 65.41 Zn.upf
Te 127.60 Te.upf
O 16.00 O.upf
CELL_PARAMETERS angstrom
3.744 -4.114 0.000
3.744 4.114 0.000
-3.484 0.000 6.548
ATOMIC_POSITIONS angstrom
Al 0.000 0.000 0.000
Al -1.742 0.000 3.274
Zn 1.131 1.357 4.911
Zn 2.873 -1.357 1.637
Te 2.873 1.655 1.637
Te 1.131 -1.655 4.911
O 2.873 3.818 1.637
O 1.794 2.225 3.315
O 0.468 2.225 6.508
O 1.745 0.227 0.961
O 0.003 -0.227 4.235
O 4.002 0.227 2.313
O 2.260 -0.227 5.587
O 3.536 -2.225 0.041
O 2.211 -2.225 3.233
O 1.131 -3.818 4.911
```

The following is a PBE-GGA calculation of crystalline Th3Al5O12 at its relaxed geometry, from Alexandria. Values from VASP.

Volume ... 12.0 Å³ per atom
Fermi-level density of states ... 14.81 states/eV per cell
Formation energy without anion corrections ... -3038 meV/atom

Structure (Quantum ESPRESSO input):
```
&SYSTEM
  ibrav = 0, nat = 80, ntyp = 3
/
ATOMIC_SPECIES
Th 232.04 Th.upf
Al 26.98 Al.upf
O 16.00 O.upf
CELL_PARAMETERS angstrom
-6.222 6.222 6.222
6.222 -6.222 6.222
6.222 6.222 -6.222
ATOMIC_POSITIONS angstrom
Th 3.111 1.556 0.000
Th 6.222 3.111 -1.556
Th 1.556 0.000 3.111
Th 7.778 0.000 3.111
Th 0.000 3.111 1.556
Th 3.111 -1.556 6.222
Th 3.111 7.778 0.000
Th 6.222 3.111 4.667
Th -1.556 6.222 3.111
Th 4.667 6.222 3.111
Th 0.000 3.111 7.778
Th 3.111 4.667 6.222
Al 0.000 0.000 0.000
Al 3.111 3.111 -3.111
Al 3.111 -3.111 3.111
Al 6.222 0.000 0.000
Al 9.333 1.556 0.000
Al 6.222 -3.111 4.667
Al 4.667 6.222 -3.111
Al 4.667 0.000 3.111
Al 3.111 4.667 0.000
Al 6.222 3.111 1.556
Al -3.111 3.111 3.111
Al 0.000 6.222 0.000
Al 0.000 0.000 6.222
Al 3.111 3.111 3.111
Al 0.000 3.111 4.667
Al 3.111 1.556 6.222
Al 1.556 6.222 3.111
Al 1.556 0.000 9.333
Al 0.000 9.333 1.556
Al -3.111 4.667 6.222
O 1.828 -0.454 0.565
O 7.506 3.676 -3.565
O 8.050 0.454 0.565
O 7.506 -2.546 3.565
O 5.769 -0.565 1.828
O 9.787 -1.283 2.546
O 0.565 1.828 -0.454
O 8.769 2.657 -1.283
O 3.676 3.565 -1.283
O 5.657 1.828 0.454
O -0.454 0.565 1.828
O 3.565 -1.283 3.676
O 5.769 5.657 -1.828
O 3.565 1.283 2.546
O 3.676 -3.565 7.506
O 5.657 -1.828 5.769
O 2.546 3.565 1.283
O 6.787 4.394 0.454
O 3.565 7.506 -2.546
O 5.769 0.565 4.394
O 1.828 5.769 -0.565
O 7.506 2.546 2.657
O 1.283 2.546 3.565
O 1.828 0.454 5.657
O 4.394 5.769 0.565
O 4.939 3.676 2.657
O -1.283 3.676 3.565
O 4.394 0.454 6.787
O 0.454 5.657 1.828
O 2.657 -1.283 8.769
O -0.565 1.828 5.769
O 3.676 2.657 4.939
O 0.565 8.050 0.454
O 2.546 9.787 -1.283
O 2.657 4.939 3.676
O 0.454 0.565 8.050
O 2.657 7.506 2.546
O 6.676 5.657 4.394
O 0.565 4.394 5.769
O 2.546 2.657 7.506
O -2.546 3.565 7.506
O 5.657 4.394 6.676
O -3.565 7.506 3.676
O 0.454 6.787 4.394
O -1.283 8.769 2.657
O -1.828 5.769 5.657
O -1.283 2.546 9.787
O 4.394 6.676 5.657
```

The following is a PBE-GGA calculation of crystalline TiAlO at its relaxed geometry, from Alexandria. Values from VASP.

Volume ... 11.9 Å³ per atom
Polymorph energy (0 for the lowest one) ... 324.2 meV per atom
Fermi-level density of states ... 2.22 states/eV per cell
Formation energy without anion corrections ... -1372 meV/atom

Structure (Quantum ESPRESSO input):
```
&SYSTEM
  ibrav = 0, nat = 6, ntyp = 3
/
ATOMIC_SPECIES
Ti 47.87 Ti.upf
Al 26.98 Al.upf
O 16.00 O.upf
CELL_PARAMETERS angstrom
2.829 0.000 0.000
-1.415 2.450 0.000
0.000 0.000 10.326
ATOMIC_POSITIONS angstrom
Ti 0.000 0.000 2.265
Ti 0.000 0.000 8.061
Al 0.000 0.000 5.163
Al 1.415 0.817 0.000
O 1.415 0.817 3.951
O 1.415 0.817 6.374
```

The following is a PBE-GGA calculation of crystalline TiAl2O4 at its relaxed geometry, from Alexandria. Values from VASP.

Volume ... 10.1 Å³ per atom
Fermi-level density of states ... 4.31 states/eV per cell
Formation energy without anion corrections ... -2659 meV/atom

Structure (Quantum ESPRESSO input):
```
&SYSTEM
  ibrav = 0, nat = 7, ntyp = 3
/
ATOMIC_SPECIES
Ti 47.87 Ti.upf
Al 26.98 Al.upf
O 16.00 O.upf
CELL_PARAMETERS angstrom
5.650 -1.407 0.000
5.650 1.407 0.000
-2.087 0.000 4.436
ATOMIC_POSITIONS angstrom
Ti 0.000 0.000 0.000
Al 2.523 0.000 1.186
Al 6.690 0.000 3.250
O -0.074 0.000 3.682
O 2.474 0.000 3.057
O 6.739 0.000 1.379
O 9.286 0.000 0.753
```

The following is a PBE-GGA calculation of crystalline TiAlO at its relaxed geometry, from Alexandria. Values from VASP.

Volume ... 12.7 Å³ per atom
Polymorph energy (0 for the lowest one) ... 135.2 meV per atom
Fermi-level density of states ... 3.67 states/eV per cell
Formation energy without anion corrections ... -1561 meV/atom

Structure (Quantum ESPRESSO input):
```
&SYSTEM
  ibrav = 0, nat = 6, ntyp = 3
/
ATOMIC_SPECIES
Ti 47.87 Ti.upf
Al 26.98 Al.upf
O 16.00 O.upf
CELL_PARAMETERS angstrom
2.814 0.000 0.000
0.000 2.799 4.850
0.000 -2.799 4.850
ATOMIC_POSITIONS angstrom
Ti 0.000 -1.409 4.850
Ti 0.000 1.409 4.850
Al 1.407 0.000 1.880
Al 1.407 0.000 6.867
O 0.000 0.000 8.135
O 1.407 0.000 3.798
```

Number 1: mass density 5.30 Mg/m³. Number 2: mass density 4.94 Mg/m³. Number 3: mass density 7.05 Mg/m³. Number 4: mass density 4.21 Mg/m³. Number 5: mass density 3.90 Mg/m³. Number 6: mass density 3.95 Mg/m³.